No. 1
# PBE-GGA SrAc3La2, optimized geometry
# * DOS at the Fermi energy: 9.37 states/eV per cell
# * raw total energy: -23.667 eV per cell
data_SrAc3La2
_space_group_name_H-M_alt 'P 4/m m m'
_space_group_IT_number 123
_space_group_name_Hall '-P 4 2'
_cell_length_a 3.935
_cell_length_b 3.935
_cell_length_c 16.807
_cell_angle_alpha 90.00
_cell_angle_beta 90.00
_cell_angle_gamma 90.00
loop_
_atom_site_label
_atom_site_fract_x
_atom_site_fract_y
_atom_site_fract_z
_atom_site_occupancy
Sr1 0.000 0.000 0.000 1
Ac1 0.500 0.500 0.184 1
Ac2 0.500 0.500 0.500 1
La1 0.000 0.000 0.338 1



No. 2
# PBE-GGA Sr2AcLa, optimized geometry
# * DOS at the Fermi energy: 29.26 states/eV per cell
# * excess energy over the best structure of this formula in the dataset: 0.033 eV per atom
data_Sr2AcLa
_space_group_name_H-M_alt 'F m -3 m'
_space_group_IT_number 225
_space_group_name_Hall '-F 4 2 3'
_cell_length_a 9.062
_cell_length_b 9.062
_cell_length_c 9.062
_cell_angle_alpha 90.00
_cell_angle_beta 90.00
_cell_angle_gamma 90.00
loop_
_atom_site_label
_atom_site_fract_x
_atom_site_fract_y
_atom_site_fract_z
_atom_site_occupancy
Sr1 0.250 0.250 0.250 1
Ac1 0.000 0.000 0.000 1
La1 0.000 0.000 0.500 1



No. 3
# PBE-GGA SrAc8La5, optimized geometry
# * DOS at the Fermi energy: 44.85 states/eV per cell
# * raw total energy: -112.505 eV per cell
data_SrAc8La5
_space_group_name_H-M_alt 'I -4'
_space_group_IT_number 82
_cell_length_a 10.492
_cell_length_b 10.492
_cell_length_c 11.134
_cell_angle_alpha 90.00
_cell_angle_beta 90.00
_cell_angle_gamma 90.00
loop_
_space_group_symop_operation_xyz
'x,y,z'
'y,-x,-z'
'-x,-y,z'
'-y,x,-z'
'x+1/2,y+1/2,z+1/2'
'y+1/2,-x+1/2,-z+1/2'
'-x+1/2,-y+1/2,z+1/2'
'-y+1/2,x+1/2,-z+1/2'
loop_
_atom_site_label
_atom_site_fract_x
_atom_site_fract_y
_atom_site_fract_z
_atom_site_occupancy
Sr1 0.000 0.000 0.000 1
Ac1 0.074 0.176 0.352 1
Ac2 0.088 0.327 0.005 1
La1 0.000 0.500 0.250 1
La2 0.106 0.299 0.678 1



No. 4
# PBE-GGA Sr2Ac2La, optimized geometry
# * DOS at the Fermi energy: 17.73 states/eV per cell
# * raw total energy: -29.058 eV per cell
data_Sr2Ac2La
_space_group_name_H-M_alt 'I 4/m m m'
_space_group_IT_number 139
_space_group_name_Hall '-I 4 2'
_cell_length_a 5.002
_cell_length_b 5.002
_cell_length_c 19.348
_cell_angle_alpha 90.00
_cell_angle_beta 90.00
_cell_angle_gamma 90.00
loop_
_atom_site_label
_atom_site_fract_x
_atom_site_fract_y
_atom_site_fract_z
_atom_site_occupancy
Sr1 0.000 0.500 0.250 1
Ac1 0.000 0.000 0.089 1
La1 0.000 0.000 0.500 1



No. 5
# PBE-GGA SrAc5La2, optimized geometry
# * DOS at the Fermi energy: 25.84 states/eV per cell
# * raw total energy: -63.440 eV per cell
data_SrAc5La2
_space_group_name_H-M_alt 'I m m m'
_space_group_IT_number 71
_space_group_name_Hall '-I 2 2'
_cell_length_a 3.945
_cell_length_b 12.175
_cell_length_c 14.755
_cell_angle_alpha 90.00
_cell_angle_beta 90.00
_cell_angle_gamma 90.00
loop_
_atom_site_label
_atom_site_fract_x
_atom_site_fract_y
_atom_site_fract_z
_atom_site_occupancy
Sr1 0.000 0.000 0.000 1
Ac1 0.000 0.230 0.366 1
Ac2 0.000 0.500 0.000 1
La1 0.000 0.500 0.252 1



No. 6
# PBE-GGA SrAc7La3, optimized geometry
# * DOS at the Fermi energy: 34.35 states/eV per cell
# * raw total energy: -85.588 eV per cell
data_SrAc7La3
_space_group_name_H-M_alt 'C 1 2/m 1'
_space_group_IT_number 12
_cell_length_a 12.676
_cell_length_b 11.206
_cell_length_c 7.112
_cell_angle_alpha 90.00
_cell_angle_beta 95.44
_cell_angle_gamma 90.00
loop_
_space_group_symop_operation_xyz
'x,y,z'
'-x,-y,-z'
'-x,y,-z'
'x,-y,z'
'x+1/2,y+1/2,z'
'-x+1/2,-y+1/2,-z'
'-x+1/2,y+1/2,-z'
'x+1/2,-y+1/2,z'
loop_
_atom_site_label
_atom_site_fract_x
_atom_site_fract_y
_atom_site_fract_z
_atom_site_occupancy
Sr1 0.000 0.000 0.000 1
Ac1 0.000 0.000 0.500 1
Ac2 0.229 0.500 0.714 1
Ac3 0.250 0.172 0.754 1
La1 0.000 0.334 0.500 1
La2 0.000 0.500 0.000 1



No. 7
# PBE-GGA SrAc15La4, optimized geometry
# * DOS at the Fermi energy: 38.17 states/eV per cell
# * raw total energy: -82.441 eV per cell
data_SrAc15La4
_space_group_name_H-M_alt 'P 4/m m m'
_space_group_IT_number 123
_space_group_name_Hall '-P 4 2'
_cell_length_a 5.607
_cell_length_b 5.607
_cell_length_c 27.857
_cell_angle_alpha 90.00
_cell_angle_beta 90.00
_cell_angle_gamma 90.00
loop_
_atom_site_label
_atom_site_fract_x
_atom_site_fract_y
_atom_site_fract_z
_atom_site_occupancy
Sr1 0.000 0.000 0.000 1
Ac1 0.000 0.500 0.105 1
Ac2 0.000 0.500 0.302 1
Ac3 0.000 0.500 0.500 1
Ac4 0.500 0.500 0.000 1
Ac5 0.500 0.500 0.202 1
Ac6 0.500 0.500 0.401 1
La1 0.000 0.000 0.202 1
La2 0.000 0.000 0.401 1



No. 8
# PBE-GGA Sr2AcLa, optimized geometry
# * DOS at the Fermi energy: 21.80 states/eV per cell
# * excess energy over the best structure of this formula in the dataset: 0.087 eV per atom
data_Sr2AcLa
_space_group_name_H-M_alt 'R -3 m'
_space_group_IT_number 166
_space_group_name_Hall '-R 3 2"'
_cell_length_a 3.8895
_cell_length_b 3.8895
_cell_length_c 42.6787
_cell_angle_alpha 90.00
_cell_angle_beta 90.00
_cell_angle_gamma 120.00
loop_
_atom_site_label
_atom_site_fract_x
_atom_site_fract_y
_atom_site_fract_z
_atom_site_occupancy
Sr1 0.0000 0.0000 0.0870 1
Ac1 0.0000 0.0000 0.5000 1
La1 0.0000 0.0000 0.0000 1



No. 9
# PBE-GGA SrAc6La2, optimized geometry
# * DOS at the Fermi energy: 28.11 states/eV per cell
# * raw total energy: -70.710 eV per cell
data_SrAc6La2
_space_group_name_H-M_alt 'C 1 2/m 1'
_space_group_IT_number 12
_cell_length_a 13.259
_cell_length_b 6.329
_cell_length_c 11.458
_cell_angle_alpha 90.00
_cell_angle_beta 124.97
_cell_angle_gamma 90.00
loop_
_space_group_symop_operation_xyz
'x,y,z'
'-x,-y,-z'
'-x,y,-z'
'x,-y,z'
'x+1/2,y+1/2,z'
'-x+1/2,-y+1/2,-z'
'-x+1/2,y+1/2,-z'
'x+1/2,-y+1/2,z'
loop_
_atom_site_label
_atom_site_fract_x
_atom_site_fract_y
_atom_site_fract_z
_atom_site_occupancy
Sr1 0.000 0.000 0.000 1
Ac1 0.059 0.000 0.386 1
Ac2 0.161 0.500 0.665 1
Ac3 0.211 0.500 0.059 1
La1 0.111 0.500 0.294 1



No. 10
# PBE-GGA Sr2AcLa, optimized geometry
# * DOS at the Fermi energy: 6.68 states/eV per cell
# * excess energy over the best structure of this formula in the dataset: 0.027 eV per atom
data_Sr2AcLa
_space_group_name_H-M_alt 'P 4/m m m'
_space_group_IT_number 123
_space_group_name_Hall '-P 4 2'
_cell_length_a 4.519
_cell_length_b 4.519
_cell_length_c 9.099
_cell_angle_alpha 90.00
_cell_angle_beta 90.00
_cell_angle_gamma 90.00
loop_
_atom_site_label
_atom_site_fract_x
_atom_site_fract_y
_atom_site_fract_z
_atom_site_occupancy
Sr1 0.000 0.000 0.241 1
Ac1 0.500 0.500 0.500 1
La1 0.500 0.500 0.000 1



No. 11
# PBE-GGA Sr2AcLa, optimized geometry
# * DOS at the Fermi energy: 6.03 states/eV per cell
# * excess energy over the best structure of this formula in the dataset: 0.000 eV per atom
data_Sr2AcLa
_space_group_name_H-M_alt 'P 4/m m m'
_space_group_IT_number 123
_space_group_name_Hall '-P 4 2'
_cell_length_a 5.499
_cell_length_b 5.499
_cell_length_c 6.069
_cell_angle_alpha 90.00
_cell_angle_beta 90.00
_cell_angle_gamma 90.00
loop_
_atom_site_label
_atom_site_fract_x
_atom_site_fract_y
_atom_site_fract_z
_atom_site_occupancy
Sr1 0.000 0.500 0.000 1
Ac1 0.000 0.000 0.500 1
La1 0.500 0.500 0.500 1



No. 12
# PBE-GGA SrAcLaTb, optimized geometry
# * DOS at the Fermi energy: 24.96 states/eV per cell
# * raw total energy: -58.608 eV per cell
data_SrAcLaTb
_space_group_name_H-M_alt 'F -4 3 m'
_space_group_IT_number 216
_space_group_name_Hall 'F -4 2 3'
_cell_length_a 8.682
_cell_length_b 8.682
_cell_length_c 8.682
_cell_angle_alpha 90.00
_cell_angle_beta 90.00
_cell_angle_gamma 90.00
loop_
_atom_site_label
_atom_site_fract_x
_atom_site_fract_y
_atom_site_fract_z
_atom_site_occupancy
Sr1 0.000 0.000 0.000 1
Ac1 0.250 0.250 0.250 1
La1 0.250 0.250 0.750 1
Tb1 0.000 0.000 0.500 1